Ba2Tl6CdHg after structural relaxation. Source: the Alexandria database, functional PBE.

Cell lengths 8.146, 8.146, 8.146 Å; angles 60.00, 60.00, 90.00 degrees
Fractional coordinates of all 10 atoms:
Tl  0.749  0.749  0.000
Tl  0.749  0.749  0.502
Tl  0.251  0.749  0.000
Tl  0.749  0.251  0.000
Tl  0.251  0.251  0.000
Tl  0.251  0.251  0.498
Ba  0.750  0.250  0.500
Ba  0.250  0.750  0.500
Cd  0.500  0.500  0.000
Hg  0.000  0.000  0.000

Results
As for the formation energy: 11 meV per atom. The calculated density is 7.9 Mg/m³.



Ba2TlCdHg6 after structural relaxation. Source: the Alexandria database, functional PBE.

Cell lengths 7.981, 7.981, 7.981 Å; angles 60.00, 60.00, 90.00 degrees
Fractional coordinates of all 10 atoms:
Hg  0.754  0.246  0.000
Hg  0.754  0.754  0.491
Hg  0.246  0.754  0.000
Hg  0.246  0.246  0.000
Hg  0.754  0.754  0.000
Hg  0.246  0.246  0.509
Tl  0.500  0.500  0.000
Ba  0.250  0.750  0.500
Ba  0.750  0.250  0.500
Cd  0.000  0.000  0.000

Results
As for the formation energy: -122 meV per atom. The calculated density is 8.3 Mg/m³.



Ba2TlCd3Hg4 after structural relaxation. Source: the Alexandria database, functional PBE.

Cell lengths 4.842, 4.842, 12.848 Å; angles 90.00, 90.00, 90.00 degrees
Fractional coordinates of all 10 atoms:
Tl  0.500  0.500  0.500
Hg  0.000  0.000  0.000
Hg  0.500  0.000  0.643
Hg  0.500  0.500  0.000
Hg  0.000  0.500  0.357
Ba  0.500  0.000  0.247
Ba  0.000  0.500  0.753
Cd  0.000  0.000  0.500
Cd  0.500  0.000  0.868
Cd  0.000  0.500  0.132

Results
As for the formation energy: -312 meV per atom. The calculated density is 8.9 Mg/m³.



BaTlCd2Hg after structural relaxation. Source: the Alexandria database, functional PBE.

Cell lengths 4.887, 4.870, 7.273 Å; angles 109.56, 109.63, 90.00 degrees
Fractional coordinates of all 5 atoms:
Cd  0.691  0.191  0.383
Cd  0.057  0.057  0.114
Hg  0.833  0.833  0.667
Tl  0.191  0.691  0.383
Ba  0.439  0.439  0.878

Results
As for the formation energy: -290 meV per atom. The calculated density is 8.4 Mg/m³.